# CaCuPO2 | Alexandria | PBE | optimized geometry
data_CaCuPO2
_chemical_formula_sum 'Ca1 Cu1 P1 O2'
_cell_length_a 4.0466
_cell_length_b 4.0466
_cell_length_c 4.3286
_cell_angle_alpha 90.00
_cell_angle_beta 90.00
_cell_angle_gamma 90.00
_symmetry_space_group_name_H-M 'P 1'
_symmetry_Int_Tables_number 1
loop_
_symmetry_equiv_pos_as_xyz
'x,y,z'
loop_
_atom_site_label
_atom_site_fract_x
_atom_site_fract_y
_atom_site_fract_z
_atom_site_occupancy
P1 0.0000 0.0000 0.5000 1
Ca1 0.5000 0.5000 0.5000 1
O1 0.0000 0.5000 0.0000 1
O2 0.5000 0.0000 0.0000 1
Cu1 0.0000 0.0000 0.0000 1
# E_form (uncorrected) (eV/atom): -0.49
# SG: No. 123
# VASP energy (eV for the cell shown): -23.86
# Energy above the most stable polymorph in this dataset (meV per atom): 0

=====

# Dy2Th4Sc5 | Alexandria | PBE | optimized geometry
data_Dy2Th4Sc5
_chemical_formula_sum 'Dy2 Th4 Sc5'
_cell_length_a 3.4646
_cell_length_b 10.2760
_cell_length_c 13.3862
_cell_angle_alpha 138.07
_cell_angle_beta 97.44
_cell_angle_gamma 90.00
_symmetry_space_group_name_H-M 'P 1'
_symmetry_Int_Tables_number 1
loop_
_symmetry_equiv_pos_as_xyz
'x,y,z'
loop_
_atom_site_label
_atom_site_fract_x
_atom_site_fract_y
_atom_site_fract_z
_atom_site_occupancy
Dy1 0.5971 0.7354 0.1942 1
Dy2 0.4029 0.2646 0.8058 1
Th1 0.6811 0.4546 0.3623 1
Th2 0.0422 0.3555 0.0843 1
Th3 0.3189 0.5454 0.6377 1
Th4 0.9578 0.6445 0.9157 1
Sc1 0.1367 0.0995 0.2734 1
Sc2 0.8633 0.9005 0.7266 1
Sc3 0.2286 0.8120 0.4571 1
Sc4 0.5000 0.0000 0.0000 1
Sc5 0.7714 0.1880 0.5429 1
# SG: No. 12
# VASP energy (eV for the cell shown): -70.04
# Formation energy (eV/atom): 0.045

=====

# Cd2InAg | Alexandria | PBE | optimized geometry
data_Cd2InAg
_chemical_formula_sum 'Cd2 In1 Ag1'
_cell_length_a 5.2884
_cell_length_b 3.2508
_cell_length_c 5.1848
_cell_angle_alpha 93.76
_cell_angle_beta 90.00
_cell_angle_gamma 90.00
_symmetry_space_group_name_H-M 'P 1'
_symmetry_Int_Tables_number 1
loop_
_symmetry_equiv_pos_as_xyz
'x,y,z'
loop_
_atom_site_label
_atom_site_fract_x
_atom_site_fract_y
_atom_site_fract_z
_atom_site_occupancy
Cd1 0.0000 0.0006 0.9932 1
Cd2 0.0000 0.4994 0.5068 1
Ag1 0.5000 0.7500 0.7500 1
In1 0.5000 0.2500 0.2500 1
# SG: No. 10
# VASP energy (eV for the cell shown): -7.36
# Formation energy (eV/atom): 0.015

=====

# Ba2PaTeO8 | Alexandria | PBE | optimized geometry
data_Ba2PaTeO8
_chemical_formula_sum 'Ba2 Pa1 Te1 O8'
_cell_length_a 5.6015
_cell_length_b 5.6082
_cell_length_c 7.0590
_cell_angle_alpha 89.98
_cell_angle_beta 90.02
_cell_angle_gamma 92.19
_symmetry_space_group_name_H-M 'P 1'
_symmetry_Int_Tables_number 1
loop_
_symmetry_equiv_pos_as_xyz
'x,y,z'
loop_
_atom_site_label
_atom_site_fract_x
_atom_site_fract_y
_atom_site_fract_z
_atom_site_occupancy
Ba1 0.5001 0.4999 0.7600 1
Ba2 0.4999 0.5001 0.2400 1
Pa1 0.0000 0.0000 0.5000 1
Te1 0.0000 0.0000 0.0000 1
O1 0.1609 0.8376 0.2155 1
O2 0.7546 0.7571 0.0000 1
O3 0.8391 0.1624 0.2153 1
O4 0.8391 0.1624 0.7845 1
O5 0.2454 0.2429 0.0000 1
O6 0.1609 0.8376 0.7847 1
O7 0.7436 0.7452 0.5000 1
O8 0.2564 0.2548 0.5000 1
# E_form (uncorrected) (eV/atom): -2.23
# SG: No. 10
# VASP energy (eV for the cell shown): -82.96

=====

# DyEr2Th2 | Alexandria | PBE | optimized geometry
data_DyEr2Th2
_chemical_formula_sum 'Dy2 Er4 Th4'
_cell_length_a 8.2006
_cell_length_b 6.6972
_cell_length_c 6.6972
_cell_angle_alpha 99.17
_cell_angle_beta 103.54
_cell_angle_gamma 103.54
_symmetry_space_group_name_H-M 'P 1'
_symmetry_Int_Tables_number 1
loop_
_symmetry_equiv_pos_as_xyz
'x,y,z'
loop_
_atom_site_label
_atom_site_fract_x
_atom_site_fract_y
_atom_site_fract_z
_atom_site_occupancy
Dy1 0.2500 0.7738 0.2262 1
Dy2 0.7500 0.2262 0.7738 1
Er1 0.0000 0.5000 0.5000 1
Er2 0.0000 0.0000 0.5000 1
Er3 0.5000 0.5000 0.5000 1
Er4 0.5000 0.5000 0.0000 1
Th1 0.1465 0.2190 0.0874 1
Th2 0.8535 0.7810 0.9126 1
Th3 0.3535 0.9126 0.7810 1
Th4 0.6465 0.0874 0.2190 1
# SG: No. 15
# VASP energy (eV for the cell shown): -54.02
# Formation energy (eV/atom): 0.311
# Energy above the most stable polymorph in this dataset (meV per atom): 282